The following is a GGA-PBE calculation of a relaxed CaDyLuSc crystal, from Alexandria via LeMat-Bulk.

a b c (Å): 5.5723 5.5723 5.5723
angles (deg): 60.00 60.00 60.00
Fractional coordinates of all 4 atoms:
Ca  0.0000  0.0000  0.0000
Dy  0.2500  0.2500  0.2500
Lu  0.7500  0.7500  0.7500
Sc  0.5000  0.5000  0.5000

Values from the calculation:
Volume: 30.6 Å³ per atom
Energy of formation from the pure elements: 0.19 eV/atom
Space-group type: F-43m